A:
DFT (PBE-GGA) results for a relaxed structure of Ho3Tm2Hg2.

Output
**Density of states at the Fermi level**: 1.52 states/eV per atom
**Total magnetic moment**: 0.000 μB/atom

Cell lengths 16.0451, 16.0451, 3.5153 Å; angles 90.00, 90.00, 167.35 degrees
Closest atoms and distances in Å follow each position.
Positions (direct):
Ho: 0.0000 0.0000 0.0000  8 Hg 3.20, 4 Ho 3.52-3.54
Ho: 0.1272 0.8728 0.0000  4 Hg 3.23, 4 Tm 3.49, 4 Ho 3.52-3.54
Ho: 0.8728 0.1272 0.0000  4 Hg 3.23, 4 Tm 3.49, 4 Ho 3.52-3.54
Tm: 0.2960 0.7040 0.5000  6 Tm 3.42-3.54, 4 Ho 3.49
Tm: 0.7040 0.2960 0.5000  6 Tm 3.42-3.54, 4 Ho 3.49
Hg: 0.4373 0.5627 0.5000  8 Ho 3.20-3.23, 4 Hg 3.52-3.54
Hg: 0.5627 0.4373 0.5000  8 Ho 3.20-3.23, 4 Hg 3.52-3.54



B:
DFT (PBE-GGA) results for a relaxed structure of Ho3Tm2Hg2.

Output
**Density of states at the Fermi level**: 1.04 states/eV per atom
**Total magnetic moment**: 0.000 μB/atom

Cell lengths 8.4213, 8.4213, 8.4213 Å; angles 36.66, 36.66, 36.66 degrees
Closest atoms and distances in Å follow each position.
Positions (direct):
Ho: 0.0000 0.0000 0.0000  6 Hg 3.25
Ho: 0.1576 0.1576 0.1576  1 Hg 3.04, 3 Ho 3.09
Ho: 0.8424 0.8424 0.8424  1 Hg 3.04, 3 Ho 3.09
Tm: 0.4253 0.4253 0.4253  4 Hg 3.24-3.26, 3 Ho 3.43, 1 Tm 3.52
Tm: 0.5747 0.5747 0.5747  4 Hg 3.24-3.26, 3 Ho 3.43, 1 Tm 3.52
Hg: 0.2869 0.2869 0.2869  4 Ho 3.04-3.25, 4 Tm 3.24-3.26
Hg: 0.7131 0.7131 0.7131  4 Ho 3.04-3.25, 4 Tm 3.24-3.26



Question: of the structures shown, which is the most stable? Reply: B.